# PBE-GGA TlRe2Te, optimized geometry
# Polymorph energy (0 for the lowest one): 0.616 eV per atom
# E: -6.579 eV/atom
# Calculated density: 15.7 Mg/m³
data_TlRe2Te
_space_group_name_H-M_alt 'R -3 m'
_space_group_IT_number 166
_space_group_name_Hall '-R 3 2"'
_cell_length_a 3.1400
_cell_length_b 3.1400
_cell_length_c 26.1622
_cell_angle_alpha 90.00
_cell_angle_beta 90.00
_cell_angle_gamma 120.00
loop_
_atom_site_label
_atom_site_type_symbol
_atom_site_fract_x
_atom_site_fract_y
_atom_site_fract_z
Tl1 Tl 0.0000 0.0000 0.0000
Re1 Re 0.0000 0.0000 0.2437
Te1 Te 0.0000 0.0000 0.5000